Material: Nb2AgAuSe4
Method: DFT, PBE
State: relaxed

Summary:
- magnetization (μB per formula unit) = 0.003
- calculated density (g/cm3) = 7.668
- energy (eV/atom) = -5.61

The structure in CIF format:
```
data_Nb2AgAuSe4
_chemical_formula_sum 'Nb2 Ag1 Au1 Se4'
_symmetry_space_group_name_H-M 'P -3 m 1'
_symmetry_Int_Tables_number 164
_symmetry_space_group_name_Hall '-P 3 2"'
_cell_length_a 3.4820
_cell_length_b 3.4820
_cell_length_c 16.6324
_cell_angle_alpha 90.00
_cell_angle_beta 90.00
_cell_angle_gamma 120.00
loop_
_atom_site_label
_atom_site_type_symbol
_atom_site_fract_x
_atom_site_fract_y
_atom_site_fract_z
Nb1 Nb 0.3333 0.6667 0.2520
Ag1 Ag 0.0000 0.0000 0.0000
Au1 Au 0.0000 0.0000 0.5000
Se1 Se 0.0000 0.0000 0.1525
Se2 Se 0.0000 0.0000 0.3512
```

***

Material: Li2Zr2AlGaPd2
Method: DFT, PBE
State: relaxed

Summary:
- magnetization (μB per formula unit) = 0.002
- calculated density (g/cm3) = 6.549
- energy (eV/atom) = -5.39

The structure in CIF format:
```
data_Li2Zr2AlGaPd2
_chemical_formula_sum 'Li2 Zr2 Al1 Ga1 Pd2'
_symmetry_space_group_name_H-M 'P -4 m 2'
_symmetry_Int_Tables_number 115
_cell_length_a 4.492
_cell_length_b 4.492
_cell_length_c 6.356
_cell_angle_alpha 90.00
_cell_angle_beta 90.00
_cell_angle_gamma 90.00
loop_
_symmetry_equiv_pos_as_xyz
'x,y,z'
'y,-x,-z'
'-x,-y,z'
'-y,x,-z'
'-x,y,z'
'-y,-x,-z'
'x,-y,z'
'y,x,-z'
loop_
_atom_site_label
_atom_site_type_symbol
_atom_site_fract_x
_atom_site_fract_y
_atom_site_fract_z
Li1 Li 0.000 0.500 0.248
Zr1 Zr 0.000 0.000 0.000
Zr2 Zr 0.500 0.500 0.500
Al1 Al 0.000 0.000 0.500
Ga1 Ga 0.500 0.500 0.000
Pd1 Pd 0.000 0.500 0.746
```

***

Material: Al2CoCu5
Method: DFT, PBE
State: relaxed

Summary:
- magnetization (μB per formula unit) = 0.252
- calculated density (g/cm3) = 7.416
- energy (eV/atom) = -4.27
- ΔE to the lowest computed polymorph (kJ per mole of atoms) = 0.01

The structure in CIF format:
```
data_Al2CoCu5
_chemical_formula_sum 'Al2 Co1 Cu5'
_symmetry_space_group_name_H-M 'P 4/m m m'
_symmetry_Int_Tables_number 123
_symmetry_space_group_name_Hall '-P 4 2'
_cell_length_a 4.059
_cell_length_b 4.059
_cell_length_c 5.853
_cell_angle_alpha 90.00
_cell_angle_beta 90.00
_cell_angle_gamma 90.00
loop_
_atom_site_label
_atom_site_type_symbol
_atom_site_fract_x
_atom_site_fract_y
_atom_site_fract_z
Al1 Al 0.000 0.000 0.000
Al2 Al 0.500 0.500 0.500
Co1 Co 0.000 0.000 0.500
Cu1 Cu 0.000 0.500 0.252
Cu2 Cu 0.500 0.500 0.000
```

***

Material: HfInAgTe3
Method: DFT, PBE
State: relaxed

Summary:
- magnetization (μB per formula unit) = 0.002
- calculated density (g/cm3) = 7.576
- energy (eV/atom) = -4.60
- ΔE to the lowest computed polymorph (kJ per mole of atoms) = 0.00

The structure in CIF format:
```
data_HfInAgTe3
_chemical_formula_sum 'Hf4 In4 Ag4 Te12'
_symmetry_space_group_name_H-M 'C m c m'
_symmetry_Int_Tables_number 63
_symmetry_space_group_name_Hall '-C 2c 2'
_cell_length_a 4.124
_cell_length_b 15.176
_cell_length_c 10.981
_cell_angle_alpha 90.00
_cell_angle_beta 90.00
_cell_angle_gamma 90.00
loop_
_atom_site_label
_atom_site_type_symbol
_atom_site_fract_x
_atom_site_fract_y
_atom_site_fract_z
Hf1 Hf 0.000 0.000 0.000
In1 In 0.000 0.237 0.250
Ag1 Ag 0.000 0.458 0.750
Te1 Te 0.000 0.081 0.750
Te2 Te 0.000 0.364 0.536
```

***

Material: NaPuAgSe3
Method: DFT, PBE
State: relaxed

Summary:
- magnetization (μB per formula unit) = 4.001
- calculated density (g/cm3) = 6.657
- energy (eV/atom) = -5.78

The structure in CIF format:
```
data_NaPuAgSe3
_chemical_formula_sum 'Na4 Pu4 Ag4 Se12'
_symmetry_space_group_name_H-M 'C m c m'
_symmetry_Int_Tables_number 63
_symmetry_space_group_name_Hall '-C 2c 2'
_cell_length_a 4.190
_cell_length_b 13.561
_cell_length_c 10.743
_cell_angle_alpha 90.00
_cell_angle_beta 90.00
_cell_angle_gamma 90.00
loop_
_atom_site_label
_atom_site_type_symbol
_atom_site_fract_x
_atom_site_fract_y
_atom_site_fract_z
Na1 Na 0.000 0.244 0.250
Pu1 Pu 0.000 0.000 0.000
Ag1 Ag 0.000 0.469 0.750
Se1 Se 0.000 0.088 0.750
Se2 Se 0.000 0.363 0.550
```

***

Material: SiB4Mo
Method: DFT, PBE
State: relaxed

Summary:
- magnetization (μB per formula unit) = 0.009
- calculated density (g/cm3) = 5.284
- energy (eV/atom) = -7.07
- ΔE to the lowest computed polymorph (kJ per mole of atoms) = 0.00

The structure in CIF format:
```
data_SiB4Mo
_chemical_formula_sum 'Si2 B8 Mo2'
_symmetry_space_group_name_H-M 'I m m m'
_symmetry_Int_Tables_number 71
_symmetry_space_group_name_Hall '-I 2 2'
_cell_length_a 2.952
_cell_length_b 5.321
_cell_length_c 6.693
_cell_angle_alpha 90.00
_cell_angle_beta 90.00
_cell_angle_gamma 90.00
loop_
_atom_site_label
_atom_site_type_symbol
_atom_site_fract_x
_atom_site_fract_y
_atom_site_fract_z
Si1 Si 0.000 0.000 0.000
B1 B 0.000 0.339 0.262
Mo1 Mo 0.000 0.000 0.500
```

***

Material: LiTmZn
Method: DFT, PBE
State: relaxed

Summary:
- magnetization (μB per formula unit) = 0.007
- calculated density (g/cm3) = 5.522
- energy (eV/atom) = -2.10
- ΔE to the lowest computed polymorph (kJ per mole of atoms) = 32.73

The structure in CIF format:
```
data_LiTmZn
_chemical_formula_sum 'Li4 Tm4 Zn4'
_symmetry_space_group_name_H-M 'F -4 3 m'
_symmetry_Int_Tables_number 216
_symmetry_space_group_name_Hall 'F -4 2 3'
_cell_length_a 6.621
_cell_length_b 6.621
_cell_length_c 6.621
_cell_angle_alpha 90.00
_cell_angle_beta 90.00
_cell_angle_gamma 90.00
loop_
_atom_site_label
_atom_site_type_symbol
_atom_site_fract_x
_atom_site_fract_y
_atom_site_fract_z
Li1 Li 0.000 0.000 0.000
Tm1 Tm 0.250 0.250 0.250
Zn1 Zn 0.000 0.000 0.500
```

***

Material: SmTm2Si4Pd4
Method: DFT, PBE
State: relaxed

Summary:
- magnetization (μB per formula unit) = 0.006
- calculated density (g/cm3) = 8.731
- energy (eV/atom) = -6.07

The structure in CIF format:
```
data_SmTm2Si4Pd4
_chemical_formula_sum 'Sm2 Tm4 Si8 Pd8'
_symmetry_space_group_name_H-M 'I m m m'
_symmetry_Int_Tables_number 71
_symmetry_space_group_name_Hall '-I 2 2'
_cell_length_a 4.091
_cell_length_b 6.992
_cell_length_c 13.647
_cell_angle_alpha 90.00
_cell_angle_beta 90.00
_cell_angle_gamma 90.00
loop_
_atom_site_label
_atom_site_type_symbol
_atom_site_fract_x
_atom_site_fract_y
_atom_site_fract_z
Sm1 Sm 0.000 0.000 0.000
Tm1 Tm 0.000 0.500 0.124
Si1 Si 0.000 0.000 0.220
Si2 Si 0.000 0.179 0.500
Pd1 Pd 0.000 0.298 0.324
```